16
Lattice="7.5842 0.0000 0.0000 0.0000 7.5842 0.0000 0.0000 0.0000 5.4256" Properties=species:S:1:pos:R:3 comment="In2ReOs PBE relaxed" magnetic_moment_mub_per_fu=1.10 relative_energy_mev_per_atom=1021 dos_ef_per_ev_cell=15.4 space_group="I-42d, No. 122" pbc="T T T"
In 1.8214 5.6881 0.6782
In 1.8960 1.8214 4.7474
In 1.8960 1.9707 2.0346
In 1.9707 5.6881 3.3910
In 5.6134 1.8960 3.3910
In 5.6881 5.6134 2.0346
In 5.6881 5.7628 4.7474
In 5.7628 1.8960 0.6782
Re 0.0000 0.0000 2.7128
Re 0.0000 3.7921 4.0692
Re 3.7921 0.0000 1.3564
Re 3.7921 3.7921 0.0000
Os 0.0000 0.0000 0.0000
Os 0.0000 3.7921 1.3564
Os 3.7921 0.0000 4.0692
Os 3.7921 3.7921 2.7128

=====

4
Lattice="2.8268 0.0000 0.0000 0.0000 3.8129 0.0000 0.0000 0.0000 5.9408" Properties=species:S:1:pos:R:3 comment="InReOs2 PBE relaxed" magnetic_moment_mub_per_fu=0.00 dos_ef_per_ev_cell=3.7 space_group="Pmmm, No. 47" pbc="T T T"
In 0.0000 0.0000 0.0000
Re 0.0000 0.0000 2.9704
Os 1.4134 1.9065 1.6392
Os 1.4134 1.9065 4.3016

=====

8
Lattice="4.1236 0.0000 0.0000 0.0000 4.1236 0.0000 0.0000 0.0000 8.2685" Properties=species:S:1:pos:R:3 comment="In2ReOs PBE relaxed" magnetic_moment_mub_per_fu=1.01 relative_energy_mev_per_atom=601 dos_ef_per_ev_cell=9.1 space_group="I4/mmm, No. 139" pbc="T T T"
In 0.0000 2.0618 2.0671
In 0.0000 2.0618 6.2014
In 2.0618 0.0000 2.0671
In 2.0618 0.0000 6.2014
Re 0.0000 0.0000 0.0000
Re 2.0618 2.0618 4.1343
Os 0.0000 0.0000 4.1343
Os 2.0618 2.0618 0.0000

=====

8
Lattice="5.7478 0.0000 0.0000 0.0000 7.6950 0.0000 0.0000 0.0000 2.8548" Properties=species:S:1:pos:R:3 comment="InReOs2 PBE relaxed" magnetic_moment_mub_per_fu=0.00 dos_ef_per_ev_cell=9.8 space_group="Cmmm, No. 65" pbc="T T T"
In 0.0000 0.0000 0.0000
In 2.8739 3.8475 0.0000
Re 0.0000 3.8475 0.0000
Re 2.8739 0.0000 0.0000
Os 1.4370 1.9238 1.4274
Os 1.4370 5.7713 1.4274
Os 4.3109 1.9238 1.4274
Os 4.3109 5.7713 1.4274

=====

5
Lattice="5.0182 0.0000 0.0000 0.0000 5.0182 0.0000 0.0000 0.0000 4.7090" Properties=species:S:1:pos:R:3 comment="In2ReOsRu PBE relaxed" magnetic_moment_mub_per_fu=2.41 dos_ef_per_ev_cell=6.1 space_group="P4/mmm, No. 123" pbc="T T T"
In 0.0000 2.5091 0.0000
In 2.5091 0.0000 0.0000
Re 0.0000 0.0000 2.3545
Os 0.0000 0.0000 0.0000
Ru 2.5091 2.5091 2.3545

=====

5
Lattice="5.1106 0.0000 0.0000 0.0000 5.1106 0.0000 0.0000 0.0000 4.8086" Properties=species:S:1:pos:R:3 comment="ZnIn2ReOs PBE relaxed" magnetic_moment_mub_per_fu=4.76 dos_ef_per_ev_cell=3.4 space_group="P4/mmm, No. 123" pbc="T T T"
Zn 0.0000 0.0000 0.0000
In 0.0000 2.5553 2.4043
In 2.5553 0.0000 2.4043
Re 2.5553 2.5553 0.0000
Os 0.0000 0.0000 2.4043

=====

Number 1: raw total energy -24.297 eV per formula unit, calculated formation energy 1214 meV/atom. Number 2: raw total energy -36.033 eV per formula unit, calculated formation energy 403 meV/atom. Number 3: raw total energy -25.974 eV per formula unit, calculated formation energy 795 meV/atom. Number 4: raw total energy -35.399 eV per formula unit, calculated formation energy 562 meV/atom. Number 5: raw total energy -30.172 eV per formula unit, calculated formation energy 1652 meV/atom. Number 6: raw total energy -23.022 eV per formula unit, calculated formation energy 1481 meV/atom.